# Ba3Hg

A PBEsol-optimized structure of Ba3Hg (meta-GGA SCAN, the Alexandria database). Values from VASP.

## Properties
SG ... P4/mmm (123)
Energy above the most stable polymorph in this dataset ... 0 meV per atom
ΔE_f ... -350 meV/atom
Spin magnetization ... 0.4 μB/f.u.
Total energy ... -47.054 eV per atom

Cell and atoms, written as Quantum ESPRESSO input:
```
&SYSTEM
  ibrav = 0, nat = 4, ntyp = 2
/
ATOMIC_SPECIES
Ba 137.33 Ba.upf
Hg 200.59 Hg.upf
CELL_PARAMETERS angstrom
4.1741 0.0000 0.0000
0.0000 4.1741 0.0000
0.0000 0.0000 10.6743
ATOMIC_POSITIONS angstrom
Ba 0.0000 0.0000 0.0000
Ba 2.0871 2.0871 3.4230
Ba 2.0871 2.0871 7.2513
Hg 0.0000 0.0000 5.3372
```